# 1
# MgIn2CuHg PBE relaxed
# **Total moment**: 0.000 μB/atom
# **ΔE_f**: 0.07 eV/atom
# **Final energy**: -2.22 eV per atom
data_MgIn2CuHg
_chemical_formula_sum 'Mg1 In2 Cu1 Hg1'
_space_group_name_H-M_alt 'P 4/m m m'
_space_group_IT_number 123
_space_group_name_Hall '-P 4 2'
_cell_length_a 5.021
_cell_length_b 5.021
_cell_length_c 5.061
_cell_angle_alpha 90.00
_cell_angle_beta 90.00
_cell_angle_gamma 90.00
loop_
_atom_site_label
_atom_site_type_symbol
_atom_site_fract_x
_atom_site_fract_y
_atom_site_fract_z
Mg1 Mg 0.000 0.000 0.000
In1 In 0.000 0.500 0.500
Cu1 Cu 0.000 0.000 0.500
Hg1 Hg 0.500 0.500 0.000


# 2
# Ac3TlHg2Pd6 PBE relaxed
# **Total moment**: 0.000 μB/atom
# **ΔE_f**: -0.61 eV/atom
# **Final energy**: -4.48 eV per atom
data_Ac3TlHg2Pd6
_chemical_formula_sum 'Ac3 Tl1 Hg2 Pd6'
_space_group_name_H-M_alt 'P -3 m 1'
_space_group_IT_number 164
_space_group_name_Hall '-P 3 2"'
_cell_length_a 5.9539
_cell_length_b 5.9539
_cell_length_c 9.2595
_cell_angle_alpha 90.00
_cell_angle_beta 90.00
_cell_angle_gamma 120.00
loop_
_atom_site_label
_atom_site_type_symbol
_atom_site_fract_x
_atom_site_fract_y
_atom_site_fract_z
Ac1 Ac 0.0000 0.0000 0.0000
Ac2 Ac 0.3333 0.6667 0.6264
Tl1 Tl 0.0000 0.0000 0.5000
Hg1 Hg 0.3333 0.6667 0.0053
Pd1 Pd 0.1766 0.3532 0.2739


# 3
# Ba5Sr2MgCd2 PBE relaxed
# **Total moment**: 0.001 μB/atom
# **ΔE_f**: -0.11 eV/atom
# **Final energy**: -1.75 eV per atom
data_Ba5Sr2MgCd2
_chemical_formula_sum 'Ba10 Sr4 Mg2 Cd4'
_space_group_name_H-M_alt 'P 4/m b m'
_space_group_IT_number 127
_space_group_name_Hall '-P 4 2ab'
_cell_length_a 14.806
_cell_length_b 14.806
_cell_length_c 4.462
_cell_angle_alpha 90.00
_cell_angle_beta 90.00
_cell_angle_gamma 90.00
loop_
_atom_site_label
_atom_site_type_symbol
_atom_site_fract_x
_atom_site_fract_y
_atom_site_fract_z
Ba1 Ba 0.000 0.500 0.000
Ba2 Ba 0.047 0.200 0.000
Sr1 Sr 0.191 0.691 0.500
Mg1 Mg 0.000 0.000 0.500
Cd1 Cd 0.135 0.365 0.500